This record from the Alexandria database describes an optimized crystal structure of NiTe2Os. The functional is PBE.

The total energy comes out at -4.96 eV per atom. Its raw formation energy is 0.86 eV per atom. For the polymorph energy (0 for the lowest one), the calculation gives 664 meV/atom. The size of the total moment comes out at 0.0 μB/f.u.

a = 3.1807 Å, b = 3.1807 Å, c = 8.5018 Å
α = 90.00°, β = 90.00°, γ = 117.64°
Element x y z (fractional)
Os  0.5000  0.5000  0.7500
Te  0.0000  0.0000  0.0080
Te  0.0000  0.0000  0.4920
Ni  0.5000  0.5000  0.2500